DFT (PBE) results for a relaxed RbAlAgAu2 crystal.

Summary:
Electronic total energy: -2.673 eV per atom
Mass density: 7206 kg/m³
M_tot: 0.00 μB/cell
Energy relative to the elements: 151 meV per atom

Unit cell a=5.403 b=5.403 c=4.850 alpha=90.00 beta=90.00 gamma=90.00
Space group P4/mmm (No. 123)
One atom of each set of equivalent atoms:
Rb  0.000  0.000  0.000 [1 per cell]
Al  0.500  0.500  0.000 [1 per cell]
Ag  0.500  0.500  0.500 [1 per cell]
Au  0.000  0.500  0.500 [2 per cell]

DFT (PBE) results for a relaxed Al2ReAgAu crystal.

Summary:
Electronic total energy: -3.966 eV per atom
Mass density: 7984 kg/m³
M_tot: 3.47 μB/cell
Energy relative to the elements: 1247 meV per atom

Unit cell a=4.722 b=4.722 c=5.083 alpha=90.00 beta=90.00 gamma=90.00
Space group P4/mmm (No. 123)
One atom of each set of equivalent atoms:
Al  0.000  0.500  0.000 [2 per cell]
Re  0.000  0.000  0.500 [1 per cell]
Ag  0.500  0.500  0.500 [1 per cell]
Au  0.500  0.500  0.000 [1 per cell]

DFT (PBE) results for a relaxed AlAgRuAu2 crystal.

Summary:
Electronic total energy: -3.730 eV per atom
Mass density: 8881 kg/m³
M_tot: 0.44 μB/cell
Energy relative to the elements: 755 meV per atom

Unit cell a=5.081 b=5.081 c=4.561 alpha=90.00 beta=90.00 gamma=90.00
Space group P4/mmm (No. 123)
One atom of each set of equivalent atoms:
Al  0.000  0.000  0.000 [1 per cell]
Ag  0.500  0.500  0.000 [1 per cell]
Ru  0.000  0.000  0.500 [1 per cell]
Au  0.000  0.500  0.500 [2 per cell]

DFT (PBE) results for a relaxed ScAl2AgAu2 crystal.

Summary:
Electronic total energy: -4.388 eV per atom
Mass density: 9351 kg/m³
M_tot: 0.00 μB/cell
Energy relative to the elements: -518 meV per atom

Unit cell a=4.4835 b=4.4835 c=6.1274 alpha=90.00 beta=90.00 gamma=120.00
Space group P-3m1 (No. 164)
One atom of each set of equivalent atoms:
Sc  0.0000  0.0000  0.0000 [1 per cell]
Al  0.3333  0.6667  0.7092 [2 per cell]
Ag  0.0000  0.0000  0.5000 [1 per cell]
Au  0.3333  0.6667  0.2390 [2 per cell]

DFT (PBE) results for a relaxed Sm2Al3AgAu4 crystal.

Summary:
Electronic total energy: -4.275 eV per atom
Mass density: 10198 kg/m³
M_tot: 0.00 μB/cell
Energy relative to the elements: -612 meV per atom

Unit cell a=4.300 b=4.300 c=11.251 alpha=90.00 beta=90.00 gamma=90.00
Space group P-4m2 (No. 115)
One atom of each set of equivalent atoms:
Sm  0.000  0.500  0.244 [2 per cell]
Al  0.000  0.500  0.874 [2 per cell]
Al  0.500  0.500  0.500 [1 per cell]
Ag  0.000  0.000  0.500 [1 per cell]
Au  0.000  0.000  0.000 [1 per cell]
Au  0.000  0.500  0.653 [2 per cell]
Au  0.500  0.500  0.000 [1 per cell]

DFT (PBE) results for a relaxed SmAl3AgAu crystal.

Summary:
Electronic total energy: -3.912 eV per atom
Mass density: 7352 kg/m³
M_tot: 0.00 μB/cell
Energy relative to the elements: -233 meV per atom

Unit cell a=6.142 b=13.186 c=5.980 alpha=90.00 beta=90.00 gamma=90.00
Space group Cmcm (No. 63)
One atom of each set of equivalent atoms:
Sm  0.000  0.197  0.250 [4 per cell]
Al  0.000  0.364  0.750 [4 per cell]
Al  0.208  0.000  0.000 [8 per cell]
Ag  0.000  0.412  0.250 [4 per cell]
Au  0.000  0.159  0.750 [4 per cell]

DFT (PBE) results for a relaxed Sm4AlAg2Au crystal.

Summary:
Electronic total energy: -4.385 eV per atom
Mass density: 8541 kg/m³
M_tot: 0.00 μB/cell
Energy relative to the elements: -435 meV per atom

Unit cell a=5.2189 b=5.2189 c=25.7434 alpha=90.00 beta=90.00 gamma=120.00
Space group R-3m (No. 166, hexagonal axes)
One atom of each set of equivalent atoms:
Sm  0.0000  0.0000  0.1220 [6 per cell]
Sm  0.0000  0.0000  0.3734 [6 per cell]
Al  0.0000  0.0000  0.5000 [3 per cell]
Ag  0.0000  0.0000  0.2423 [6 per cell]
Au  0.0000  0.0000  0.0000 [3 per cell]

DFT (PBE) results for a relaxed SmAl2AgAu2 crystal.

Summary:
Electronic total energy: -4.167 eV per atom
Mass density: 9862 kg/m³
M_tot: 0.00 μB/cell
Energy relative to the elements: -565 meV per atom

Unit cell a=4.4668 b=4.4668 c=6.8812 alpha=90.00 beta=90.00 gamma=120.00
Space group P-3m1 (No. 164)
One atom of each set of equivalent atoms:
Sm  0.0000  0.0000  0.0000 [1 per cell]
Al  0.3333  0.6667  0.6778 [2 per cell]
Ag  0.0000  0.0000  0.5000 [1 per cell]
Au  0.3333  0.6667  0.2665 [2 per cell]

DFT (PBE) results for a relaxed Sm2Al4AgAu3 crystal.

Summary:
Electronic total energy: -4.370 eV per atom
Mass density: 9064 kg/m³
M_tot: 0.00 μB/cell
Energy relative to the elements: -661 meV per atom

Unit cell a=4.373 b=4.373 c=10.609 alpha=90.00 beta=90.00 gamma=90.00
Space group P-4m2 (No. 115)
One atom of each set of equivalent atoms:
Sm  0.000  0.500  0.250 [2 per cell]
Al  0.000  0.000  0.000 [1 per cell]
Al  0.000  0.500  0.634 [2 per cell]
Al  0.500  0.500  0.000 [1 per cell]
Ag  0.000  0.000  0.500 [1 per cell]
Au  0.000  0.500  0.869 [2 per cell]
Au  0.500  0.500  0.500 [1 per cell]

DFT (PBE) results for a relaxed Sm2Al4Ag3Au crystal.

Summary:
Electronic total energy: -4.050 eV per atom
Mass density: 7514 kg/m³
M_tot: 0.00 μB/cell
Energy relative to the elements: -427 meV per atom

Unit cell a=4.376 b=4.376 c=10.725 alpha=90.00 beta=90.00 gamma=90.00
Space group P-4m2 (No. 115)
One atom of each set of equivalent atoms:
Sm  0.000  0.500  0.248 [2 per cell]
Al  0.000  0.000  0.500 [1 per cell]
Al  0.000  0.500  0.868 [2 per cell]
Al  0.500  0.500  0.500 [1 per cell]
Ag  0.000  0.000  0.000 [1 per cell]
Ag  0.000  0.500  0.634 [2 per cell]
Au  0.500  0.500  0.000 [1 per cell]

DFT (PBE) results for a relaxed SmAl4AgAu2 crystal.

Summary:
Electronic total energy: -4.024 eV per atom
Mass density: 8296 kg/m³
M_tot: 0.00 μB/cell
Energy relative to the elements: -387 meV per atom

Unit cell a=4.3846 b=4.3846 c=27.4141 alpha=90.00 beta=90.00 gamma=120.00
Space group R-3m (No. 166, hexagonal axes)
One atom of each set of equivalent atoms:
Sm  0.0000  0.0000  0.0000 [3 per cell]
Al  0.0000  0.0000  0.1237 [6 per cell]
Al  0.0000  0.0000  0.3996 [6 per cell]
Ag  0.0000  0.0000  0.5000 [3 per cell]
Au  0.0000  0.0000  0.2435 [6 per cell]

DFT (PBE) results for a relaxed SmAlAgAu crystal.

Summary:
Electronic total energy: -4.148 eV per atom
Mass density: 9656 kg/m³
M_tot: 0.00 μB/cell
Energy relative to the elements: -501 meV per atom

Unit cell a=6.922 b=6.922 c=6.922 alpha=90.00 beta=90.00 gamma=90.00
Space group F-43m (No. 216)
One atom of each set of equivalent atoms:
Sm  0.000  0.000  0.000 [4 per cell]
Al  0.000  0.000  0.500 [4 per cell]
Ag  0.250  0.250  0.250 [4 per cell]
Au  0.250  0.250  0.750 [4 per cell]

DFT (PBE) results for a relaxed Al2AgSn2Au5 crystal.

Summary:
Electronic total energy: -3.574 eV per atom
Mass density: 11446 kg/m³
M_tot: 0.00 μB/cell
Energy relative to the elements: -101 meV per atom

Unit cell a=10.755 b=10.755 c=3.472 alpha=90.00 beta=90.00 gamma=90.00
Space group P4/mbm (No. 127)
One atom of each set of equivalent atoms:
Al  0.137  0.363  0.000 [4 per cell]
Ag  0.000  0.000  0.000 [2 per cell]
Sn  0.169  0.669  0.000 [4 per cell]
Au  0.000  0.500  0.500 [2 per cell]
Au  0.043  0.205  0.500 [8 per cell]

DFT (PBE) results for a relaxed SrAl4Ag2Au crystal.

Summary:
Electronic total energy: -3.417 eV per atom
Mass density: 6071 kg/m³
M_tot: 0.00 μB/cell
Energy relative to the elements: -213 meV per atom

Unit cell a=4.4319 b=4.4319 c=29.3422 alpha=90.00 beta=90.00 gamma=120.00
Space group R-3m (No. 166, hexagonal axes)
One atom of each set of equivalent atoms:
Sr  0.0000  0.0000  0.0000 [3 per cell]
Al  0.0000  0.0000  0.1289 [6 per cell]
Al  0.0000  0.0000  0.4087 [6 per cell]
Ag  0.0000  0.0000  0.2476 [6 per cell]
Au  0.0000  0.0000  0.5000 [3 per cell]

DFT (PBE) results for a relaxed Sr2Al3Ag12Au crystal.

Summary:
Electronic total energy: -2.700 eV per atom
Mass density: 6384 kg/m³
M_tot: 0.00 μB/cell
Energy relative to the elements: 193 meV per atom

Unit cell a=9.1635 b=9.1635 c=18.7538 alpha=90.00 beta=90.00 gamma=120.00
Space group R-3m (No. 166, hexagonal axes)
One atom of each set of equivalent atoms:
Sr  0.0000  0.0000  0.1050 [6 per cell]
Al  0.0000  0.5000  0.0000 [9 per cell]
Ag  0.0010  0.5005  0.1390 [18 per cell]
Ag  0.0866  0.5433  0.3947 [18 per cell]
Au  0.0000  0.0000  0.5000 [3 per cell]

DFT (PBE) results for a relaxed SrAl2AgAu4 crystal.

Summary:
Electronic total energy: -3.544 eV per atom
Mass density: 10273 kg/m³
M_tot: 0.00 μB/cell
Energy relative to the elements: -403 meV per atom

Unit cell a=4.4465 b=4.4465 c=29.3792 alpha=90.00 beta=90.00 gamma=120.00
Space group R-3m (No. 166, hexagonal axes)
One atom of each set of equivalent atoms:
Sr  0.0000  0.0000  0.0000 [3 per cell]
Al  0.0000  0.0000  0.2360 [6 per cell]
Ag  0.0000  0.0000  0.5000 [3 per cell]
Au  0.0000  0.0000  0.1233 [6 per cell]
Au  0.0000  0.0000  0.4020 [6 per cell]

DFT (PBE) results for a relaxed SrAl2Ag2Au crystal.

Summary:
Electronic total energy: -3.203 eV per atom
Mass density: 6365 kg/m³
M_tot: 0.00 μB/cell
Energy relative to the elements: -178 meV per atom

Unit cell a=4.873 b=4.873 c=6.089 alpha=90.00 beta=90.00 gamma=90.00
Space group P4/mmm (No. 123)
One atom of each set of equivalent atoms:
Sr  0.000  0.000  0.000 [1 per cell]
Al  0.000  0.500  0.500 [2 per cell]
Ag  0.500  0.500  0.236 [2 per cell]
Au  0.000  0.000  0.500 [1 per cell]

DFT (PBE) results for a relaxed Sr2Al4Ag3Au crystal.

Summary:
Electronic total energy: -3.356 eV per atom
Mass density: 5997 kg/m³
M_tot: 0.00 μB/cell
Energy relative to the elements: -339 meV per atom

Unit cell a=4.480 b=4.480 c=11.091 alpha=90.00 beta=90.00 gamma=90.00
Space group P-4m2 (No. 115)
One atom of each set of equivalent atoms:
Sr  0.000  0.500  0.250 [2 per cell]
Al  0.000  0.000  0.000 [1 per cell]
Al  0.000  0.500  0.624 [2 per cell]
Al  0.500  0.500  0.000 [1 per cell]
Ag  0.000  0.500  0.865 [2 per cell]
Ag  0.500  0.500  0.500 [1 per cell]
Au  0.000  0.000  0.500 [1 per cell]

DFT (PBE) results for a relaxed SrAl2AgAu5 crystal.

Summary:
Electronic total energy: -3.437 eV per atom
Mass density: 10675 kg/m³
M_tot: 0.00 μB/cell
Energy relative to the elements: -280 meV per atom

Unit cell a=5.014 b=5.014 c=7.638 alpha=90.00 beta=90.00 gamma=90.00
Space group P4/mmm (No. 123)
One atom of each set of equivalent atoms:
Sr  0.000  0.000  0.000 [1 per cell]
Al  0.500  0.500  0.334 [2 per cell]
Ag  0.000  0.000  0.500 [1 per cell]
Au  0.000  0.500  0.279 [4 per cell]
Au  0.500  0.500  0.000 [1 per cell]

DFT (PBE) results for a relaxed Sr2Al3AgAu4 crystal.

Summary:
Electronic total energy: -3.623 eV per atom
Mass density: 8536 kg/m³
M_tot: 0.00 μB/cell
Energy relative to the elements: -568 meV per atom

Unit cell a=4.600 b=4.600 c=10.592 alpha=90.00 beta=90.00 gamma=90.00
Space group P-4m2 (No. 115)
One atom of each set of equivalent atoms:
Sr  0.000  0.500  0.250 [2 per cell]
Al  0.000  0.000  0.000 [1 per cell]
Al  0.000  0.500  0.616 [2 per cell]
Ag  0.500  0.500  0.000 [1 per cell]
Au  0.000  0.000  0.500 [1 per cell]
Au  0.000  0.500  0.854 [2 per cell]
Au  0.500  0.500  0.500 [1 per cell]

DFT (PBE) results for a relaxed SrAlAgAu crystal.

Summary:
Electronic total energy: -3.279 eV per atom
Mass density: 6909 kg/m³
M_tot: 0.00 μB/cell
Energy relative to the elements: -390 meV per atom

Unit cell a=4.285 b=4.285 c=10.979 alpha=90.00 beta=90.00 gamma=90.00
Space group P4/nmm (No. 129, origin choice 2)
One atom of each set of equivalent atoms:
Sr  0.250  0.250  0.237 [2 per cell]
Al  0.250  0.750  0.500 [2 per cell]
Ag  0.250  0.750  0.000 [2 per cell]
Au  0.250  0.250  0.630 [2 per cell]

DFT (PBE) results for a relaxed Sr2AlAgAu6 crystal.

Summary:
Electronic total energy: -3.441 eV per atom
Mass density: 10214 kg/m³
M_tot: 0.00 μB/cell
Energy relative to the elements: -479 meV per atom

Unit cell a=5.534 b=6.905 c=7.461 alpha=79.32 beta=68.31 gamma=66.43
Space group P-1 (No. 2)
One atom of each set of equivalent atoms:
Sr  0.232  0.223  0.314 [2 per cell]
Al  0.000  0.000  0.000 [1 per cell]
Ag  0.500  0.500  0.500 [1 per cell]
Au  0.248  0.611  0.890 [2 per cell]
Au  0.251  0.235  0.766 [2 per cell]
Au  0.252  0.765  0.234 [2 per cell]

DFT (PBE) results for a relaxed TbAl2AgAu2 crystal.

Summary:
Electronic total energy: -4.152 eV per atom
Mass density: 10227 kg/m³
M_tot: 0.00 μB/cell
Energy relative to the elements: -565 meV per atom

Unit cell a=4.4662 b=4.4662 c=6.7175 alpha=90.00 beta=90.00 gamma=120.00
Space group P-3m1 (No. 164)
One atom of each set of equivalent atoms:
Tb  0.0000  0.0000  0.0000 [1 per cell]
Al  0.3333  0.6667  0.6832 [2 per cell]
Ag  0.0000  0.0000  0.5000 [1 per cell]
Au  0.3333  0.6667  0.2597 [2 per cell]

DFT (PBE) results for a relaxed TbAlAgAu crystal.

Summary:
Electronic total energy: -4.158 eV per atom
Mass density: 10177 kg/m³
M_tot: 0.00 μB/cell
Energy relative to the elements: -533 meV per atom

Unit cell a=6.842 b=6.842 c=6.842 alpha=90.00 beta=90.00 gamma=90.00
Space group F-43m (No. 216)
One atom of each set of equivalent atoms:
Tb  0.000  0.000  0.000 [4 per cell]
Al  0.000  0.000  0.500 [4 per cell]
Ag  0.250  0.250  0.250 [4 per cell]
Au  0.250  0.250  0.750 [4 per cell]